(1)
Zr2TcTe | GGA-PBEsol | relaxed

POSCAR file:
```
Zr2TcTe
1.0
2.9388 -3.8086 0.0000
2.9388 3.8086 0.0000
0.0000 0.0000 3.4268
Zr Tc Te
2 1 1
direct
0.0000 0.5000 0.0000
0.5000 0.0000 0.0000
0.0000 0.0000 0.5000
0.5000 0.5000 0.5000
```

Computed properties:
Space-group type: No. 65

***

(2)
Rb2LiRhF6 | GGA-PBEsol | relaxed

POSCAR file:
```
Rb2LiRhF6
1.0
0.0000 4.0907 4.0907
4.0907 0.0000 4.0907
4.0907 4.0907 0.0000
Rb Li Rh F
2 1 1 6
direct
0.2500 0.2500 0.2500
0.7500 0.7500 0.7500
0.0000 0.0000 0.0000
0.5000 0.5000 0.5000
0.2568 0.2568 0.7432
0.2568 0.7432 0.2568
0.2568 0.7432 0.7432
0.7432 0.2568 0.2568
0.7432 0.2568 0.7432
0.7432 0.7432 0.2568
```

Computed properties:
Space-group type: No. 225

***

| no. | ΔE_f (raw) (eV/f.u.) |
| --- | --- |
| 1 | -1.404 |
| 2 | -24.132 |